CaHg2F: relaxed, PBE.

It has space group I-42d (No. 122), with a = 10.572 Å, b = 10.572 Å, c = 4.287 Å, α = 90.00°, β = 90.00° and γ = 90.00°. Symmetry generates all atoms from Ca at (0.000, 0.000, 0.000), Hg at (0.146, 0.250, 0.625) and F at (0.000, 0.000, 0.500).

Its excess energy over the best structure of this formula in the dataset is 0 meV/atom. The calculation puts the mass density at 6.38 g cm⁻³. For the magnetic moment, the calculation gives 0.00 μB/atom. The formation energy from raw total energies is -1.2997 eV/atom. The calculation puts the total DFT energy (no corrections) at -38.70 eV for the cell shown.